Entry from Alexandria via LeMat-Bulk: a relaxed structure of NiOs2Cl (PBE).

abc: 4.244 4.244 4.244
angles: 60.00 60.00 60.00
Sites, in units of the cell vectors:
Ni  0.000  0.000  0.000
Os  0.250  0.250  0.250
Os  0.750  0.750  0.750
Cl  0.500  0.500  0.500

Computed properties:
ΔE to the lowest computed polymorph   785 meV per atom
E_form (uncorrected)   1.217 eV per atom